Record 1
A crystal of Rb2CuBr2Cl2 relaxed with PBEsol, computed with SCAN.

Computed properties:
- space-group type = Cmce (64)
- total DFT energy (no corrections) (eV per atom) = -17.39
- crystal system = orthorhombic

Unit cell a=7.094 b=7.094 c=8.855 alpha=90.00 beta=113.61 gamma=90.00
Site moments in Bohr magnetons follow the coordinates.
Atoms (fractional coordinates):
1 Rb 0.866 0.500 0.733  0.00
2 Rb 0.134 0.500 0.267  0.00
3 Rb 0.634 0.000 0.267  0.00
4 Rb 0.366 0.000 0.733  0.00
5 Br 0.654 0.500 0.308  0.10
6 Br 0.846 0.000 0.692  0.10
7 Br 0.346 0.500 0.692  0.10
8 Br 0.154 0.000 0.308  0.10
9 Cl 0.775 0.225 0.000  0.08
10 Cl 0.225 0.775 0.000  0.08
11 Cl 0.275 0.275 0.000  0.08
12 Cl 0.725 0.725 0.000  0.08
13 Cu 0.000 0.000 0.000  0.56
14 Cu 0.500 0.500 0.000  0.56

---

Record 2
A crystal of EuBrCl relaxed with PBEsol, computed with SCAN.

Computed properties:
- space-group type = Pnma (62)
- total DFT energy (no corrections) (eV per atom) = -29.44
- crystal system = orthorhombic

Unit cell a=4.343 b=7.460 c=12.514 alpha=90.00 beta=90.00 gamma=90.00
Site moments in Bohr magnetons follow the coordinates.
Atoms (fractional coordinates):
1 Cl 0.750 0.083 0.889  -0.04
2 Cl 0.250 0.917 0.111  -0.04
3 Cl 0.750 0.583 0.611  -0.04
4 Cl 0.250 0.417 0.389  -0.04
5 Eu 0.250 0.745 0.503  6.90
6 Eu 0.750 0.755 0.003  6.90
7 Eu 0.750 0.255 0.497  6.90
8 Eu 0.250 0.245 0.997  6.90
9 Br 0.750 0.415 0.128  -0.04
10 Br 0.250 0.085 0.628  -0.04
11 Br 0.750 0.915 0.372  -0.04
12 Br 0.250 0.585 0.872  -0.04

---

Record 3
A crystal of PBrCl2F relaxed with PBEsol, computed with SCAN.

Computed properties:
- space-group type = P4/mmm (123)
- total DFT energy (no corrections) (eV per atom) = -9.55
- crystal system = tetragonal

Unit cell a=3.560 b=5.377 c=5.377 alpha=90.00 beta=90.00 gamma=90.00
Site moments in Bohr magnetons follow the coordinates.
Atoms (fractional coordinates):
1 P 0.500 0.000 0.000  -0.09
2 Br 0.500 0.500 0.500  0.71
3 Cl 0.000 0.000 0.500  0.28
4 Cl 0.000 0.500 0.000  0.28
5 F 0.000 0.000 0.000  -0.01

---

Record 4
A crystal of FeBr3Cl relaxed with PBEsol, computed with SCAN.

Computed properties:
- space-group type = Pm-3m (221)
- total DFT energy (no corrections) (eV per atom) = -16.94
- crystal system = cubic

Unit cell a=4.867 b=4.867 c=4.867 alpha=90.00 beta=90.00 gamma=90.00
Site moments in Bohr magnetons follow the coordinates.
Atoms (fractional coordinates):
1 Fe 0.000 0.000 0.000  3.57
2 Cl 0.500 0.500 0.500  -0.29
3 Br 0.500 0.000 0.000  0.11
4 Br 0.000 0.500 0.000  0.11
5 Br 0.000 0.000 0.500  0.11

---

Record 5
A crystal of FeBr2Cl relaxed with PBEsol, computed with SCAN.

Computed properties:
- E above lowest polymorph (meV per atom) = 608
- space-group type = R-3m (166)
- total DFT energy (no corrections) (eV per atom) = -16.36
- crystal system = trigonal

Unit cell a=3.506 b=3.506 c=7.466 alpha=76.42 beta=76.42 gamma=60.00
Site moments in Bohr magnetons follow the coordinates.
Atoms (fractional coordinates):
1 Cl 0.500 0.500 0.500  -0.12
2 Fe 0.000 0.000 0.000  1.24
3 Br 0.728 0.728 0.817  -0.05
4 Br 0.272 0.272 0.183  -0.05

---

Record 6
A crystal of FeBr2Cl2 relaxed with PBEsol, computed with SCAN.

Computed properties:
- space-group type = I4/mmm (139)
- total DFT energy (no corrections) (eV per atom) = -14.49
- crystal system = tetragonal

Unit cell a=3.441 b=3.441 c=10.653 alpha=99.29 beta=99.29 gamma=90.00
Site moments in Bohr magnetons follow the coordinates.
Atoms (fractional coordinates):
1 Cl 0.250 0.750 0.500  0.00
2 Cl 0.750 0.250 0.500  0.00
3 Br 0.575 0.575 0.151  0.14
4 Br 0.425 0.425 0.849  0.14
5 Fe 0.000 0.000 0.000  3.58

---

Record 7
A crystal of FeBrCl relaxed with PBEsol, computed with SCAN.

Computed properties:
- E above lowest polymorph (meV per atom) = 178
- space-group type = F-43m (216)
- total DFT energy (no corrections) (eV per atom) = -15.54
- crystal system = cubic

Unit cell a=4.442 b=4.442 c=4.442 alpha=60.00 beta=60.00 gamma=60.00
Site moments in Bohr magnetons follow the coordinates.
Atoms (fractional coordinates):
1 Cl 0.500 0.500 0.500  0.14
2 Br 0.000 0.000 0.000  0.14
3 Fe 0.250 0.250 0.250  3.60

---

Record 8
A crystal of FeBrCl relaxed with PBEsol, computed with SCAN.

Computed properties:
- E above lowest polymorph (meV per atom) = 0
- space-group type = P3m1 (156)
- total DFT energy (no corrections) (eV per atom) = -15.72
- crystal system = trigonal

Unit cell a=3.523 b=3.523 c=6.272 alpha=90.00 beta=90.00 gamma=120.00
Site moments in Bohr magnetons follow the coordinates.
Atoms (fractional coordinates):
1 Fe 0.333 0.667 0.344  0.09
2 Br 0.000 0.000 0.097  0.00
3 Cl 0.667 0.333 0.559  0.00

---

Record 9
A crystal of FeBr2Cl relaxed with PBEsol, computed with SCAN.

Computed properties:
- E above lowest polymorph (meV per atom) = 0
- space-group type = Pm (6)
- total DFT energy (no corrections) (eV per atom) = -16.97
- crystal system = monoclinic

Unit cell a=3.353 b=6.213 c=6.275 alpha=120.29 beta=90.00 gamma=90.00
Site moments in Bohr magnetons follow the coordinates.
Atoms (fractional coordinates):
1 Cl 0.000 0.411 0.616  0.21
2 Br 0.500 0.804 0.298  0.33
3 Br 0.000 0.111 0.922  0.25
4 Fe 0.500 0.174 0.664  3.87

---

Record 10
A crystal of FeBr2Cl relaxed with PBEsol, computed with SCAN.

Computed properties:
- E above lowest polymorph (meV per atom) = 296
- space-group type = I-42d (122)
- total DFT energy (no corrections) (eV per atom) = -16.67
- crystal system = tetragonal

Unit cell a=6.895 b=6.895 c=6.895 alpha=140.30 beta=96.62 gamma=96.62
Site moments in Bohr magnetons follow the coordinates.
Atoms (fractional coordinates):
1 Cl 0.500 0.250 0.750  0.27
2 Cl 0.000 0.500 0.500  0.27
3 Br 0.644 0.875 0.019  0.29
4 Br 0.356 0.375 0.231  0.29
5 Br 0.856 0.981 0.625  0.29
6 Br 0.144 0.769 0.125  0.29
7 Fe 0.000 0.000 0.000  3.89
8 Fe 0.500 0.750 0.250  3.89

---

Record 11
A crystal of Ga3BrCl relaxed with PBEsol, computed with SCAN.

Computed properties:
- space-group type = Pm-3m (221)
- total DFT energy (no corrections) (eV per atom) = -15.20
- crystal system = cubic

Unit cell a=5.354 b=5.354 c=5.354 alpha=90.00 beta=90.00 gamma=90.00
Atoms (fractional coordinates):
1 Ga 0.000 0.500 0.000
2 Ga 0.000 0.000 0.500
3 Ga 0.500 0.000 0.000
4 Cl 0.000 0.000 0.000
5 Br 0.500 0.500 0.500

---

Record 12
A crystal of GaMoBr2Cl relaxed with PBEsol, computed with SCAN.

Computed properties:
- space-group type = P4/mmm (123)
- total DFT energy (no corrections) (eV per atom) = -19.88
- crystal system = tetragonal

Unit cell a=4.833 b=5.189 c=5.189 alpha=90.00 beta=90.00 gamma=90.00
Site moments in Bohr magnetons follow the coordinates.
Atoms (fractional coordinates):
1 Mo 0.000 0.000 0.000  3.09
2 Cl 0.500 0.000 0.000  0.04
3 Br 0.000 0.000 0.500  0.04
4 Br 0.000 0.500 0.000  0.04
5 Ga 0.500 0.500 0.500  0.02